The following is a PBE calculation of a relaxed structure of InHg3Ir, from Alexandria.

Computed properties:
* calculated formation energy: 0.29 eV per atom
* total DFT energy (no corrections): -2.209 eV/atom

Lattice parameters (Å, degrees): 5.2839 5.2839 5.2839 90.00 90.00 90.00
With the nearest neighbours (Å) after each atom.
Fractional positions:
Ir 0.0000 0.0000 0.0000  6 Hg 2.64
Hg 0.0000 0.5000 0.0000  2 Ir 2.64
Hg 0.0000 0.0000 0.5000  2 Ir 2.64
Hg 0.5000 0.0000 0.0000  2 Ir 2.64
In 0.5000 0.5000 0.5000  12 Hg 3.74